[1]
Material: Cs2RbAg2I6
Method: DFT, PBE-GGA
State: relaxed

The calculation puts the total energy at -27.34 eV/cell. The value obtained for the theoretical density is 3.8 g/cm3. Its size of the total moment is 0.000 μB per formula unit.

```
11
Lattice="7.809 -3.947 0.000 7.809 3.947 0.000 -4.570 0.000 9.333" Properties=species:S:1:pos:R:3 pbc="T T T"
Cs 2.302 0.000 2.016
Cs 8.746 0.000 7.317
Rb -2.285 0.000 4.667
Ag 3.539 0.000 7.156
Ag 7.509 0.000 2.178
I 5.875 2.093 1.513
I 1.186 0.000 5.828
I 5.172 2.093 7.820
I 5.875 -2.093 1.513
I 9.862 0.000 3.505
I 5.172 -2.093 7.820
```

---

[2]
Material: HoPu2Te2S2
Method: DFT, PBE-GGA
State: relaxed

The calculation puts the total energy at -113.50 eV/cell. The value obtained for the theoretical density is 7.9 g/cm3. Its size of the total moment is 10.989 μB per formula unit.

```
14
Lattice="5.063 0.000 0.000 0.000 5.063 0.000 0.000 0.000 15.881" Properties=species:S:1:pos:R:3 pbc="T T T"
Ho 0.000 0.000 0.000
Ho 2.532 2.532 7.940
Pu 0.000 0.000 6.091
Pu 0.000 0.000 9.790
Pu 2.532 2.532 1.849
Pu 2.532 2.532 14.031
Te 0.000 0.000 2.973
Te 0.000 0.000 12.907
Te 2.532 2.532 4.967
Te 2.532 2.532 10.913
S 0.000 2.532 0.000
S 0.000 2.532 7.940
S 2.532 0.000 0.000
S 2.532 0.000 7.940
```